Arrangement a

Below is Tb2SmGa after structural relaxation, with properties calculated at the PBE-GGA level.

Volume ... 112.6 Å³/cell

CIF file:
```
data_Tb2SmGa
_space_group_name_H-M_alt 'P 4/m m m'
_space_group_IT_number 123
_space_group_name_Hall '-P 4 2'
_cell_length_a 3.5423
_cell_length_b 3.5423
_cell_length_c 8.9717
_cell_angle_alpha 90.00
_cell_angle_beta 90.00
_cell_angle_gamma 90.00
loop_
_atom_site_label
_atom_site_type_symbol
_atom_site_fract_x
_atom_site_fract_y
_atom_site_fract_z
_atom_site_occupancy
Tb1 Tb 0.0000 0.0000 0.2074 1
Sm1 Sm 0.5000 0.5000 0.5000 1
Ga1 Ga 0.5000 0.5000 0.0000 1
```

---

Arrangement b

Below is Tb2SmGa after structural relaxation, with properties calculated at the PBE-GGA level.

Volume ... 364.0 Å³/cell

CIF file:
```
data_Tb2SmGa
_space_group_name_H-M_alt 'R -3 m'
_space_group_IT_number 166
_space_group_name_Hall '-R 3 2"'
_cell_length_a 3.5100
_cell_length_b 3.5100
_cell_length_c 34.1120
_cell_angle_alpha 90.00
_cell_angle_beta 90.00
_cell_angle_gamma 120.00
loop_
_atom_site_label
_atom_site_type_symbol
_atom_site_fract_x
_atom_site_fract_y
_atom_site_fract_z
_atom_site_occupancy
Tb1 Tb 0.0000 0.0000 0.1028 1
Sm1 Sm 0.0000 0.0000 0.0000 1
Ga1 Ga 0.0000 0.0000 0.5000 1
```

---

Arrangement c

Below is Tb2SmGa after structural relaxation, with properties calculated at the PBE-GGA level.

Volume ... 352.8 Å³/cell

CIF file:
```
data_Tb2SmGa
_space_group_name_H-M_alt 'R 3 m'
_space_group_IT_number 160
_space_group_name_Hall 'R 3 -2"'
_cell_length_a 3.6342
_cell_length_b 3.6342
_cell_length_c 30.8422
_cell_angle_alpha 90.00
_cell_angle_beta 90.00
_cell_angle_gamma 120.00
loop_
_atom_site_label
_atom_site_type_symbol
_atom_site_fract_x
_atom_site_fract_y
_atom_site_fract_z
_atom_site_occupancy
Tb1 Tb 0.0000 0.0000 0.0000 1
Tb2 Tb 0.0000 0.0000 0.1927 1
Sm1 Sm 0.0000 0.0000 0.4300 1
Ga1 Ga 0.0000 0.0000 0.5960 1
```

---

What is the stability order? It is arrangement a, arrangement c, arrangement b, from most stable to least stable.

---

Arrangement a

Below is Tb2SmGa3 after structural relaxation, with properties calculated at the PBE-GGA level.

Volume ... 625.2 Å³/cell

CIF file:
```
data_Tb2SmGa3
_space_group_name_H-M_alt 'I m m a'
_space_group_IT_number 74
_space_group_name_Hall '-I 2b 2'
_cell_length_a 9.6859
_cell_length_b 10.6193
_cell_length_c 6.0784
_cell_angle_alpha 90.00
_cell_angle_beta 90.00
_cell_angle_gamma 90.00
loop_
_atom_site_label
_atom_site_type_symbol
_atom_site_fract_x
_atom_site_fract_y
_atom_site_fract_z
_atom_site_occupancy
Tb1 Tb 0.0000 0.0840 0.2502 1
Sm1 Sm 0.0000 0.2500 0.7505 1
Ga1 Ga 0.2499 0.0000 0.0000 1
Ga2 Ga 0.2500 0.2500 0.2500 1
```

---

Arrangement b

Below is Tb2SmGa3 after structural relaxation, with properties calculated at the PBE-GGA level.

Volume ... 281.8 Å³/cell

CIF file:
```
data_Tb2SmGa3
_space_group_name_H-M_alt 'P -3 m 1'
_space_group_IT_number 164
_space_group_name_Hall '-P 3 2"'
_cell_length_a 5.0957
_cell_length_b 5.0957
_cell_length_c 12.5298
_cell_angle_alpha 90.00
_cell_angle_beta 90.00
_cell_angle_gamma 120.00
loop_
_atom_site_label
_atom_site_type_symbol
_atom_site_fract_x
_atom_site_fract_y
_atom_site_fract_z
_atom_site_occupancy
Tb1 Tb 0.0000 0.0000 0.0000 1
Tb2 Tb 0.0000 0.0000 0.5000 1
Tb3 Tb 0.3333 0.6667 0.1650 1
Sm1 Sm 0.3333 0.6667 0.6667 1
Ga1 Ga 0.0000 0.0000 0.2480 1
Ga2 Ga 0.3333 0.6667 0.4158 1
Ga3 Ga 0.3333 0.6667 0.9179 1
```

---

What is the stability order? It is arrangement b, arrangement a, from most stable to least stable.

---

Arrangement a

Below is TbSm2Ga6 after structural relaxation, with properties calculated at the PBE-GGA level.

Volume ... 416.7 Å³/cell

CIF file:
```
data_TbSm2Ga6
_space_group_name_H-M_alt 'I m m m'
_space_group_IT_number 71
_space_group_name_Hall '-I 2 2'
_cell_length_a 4.3648
_cell_length_b 7.0818
_cell_length_c 13.4802
_cell_angle_alpha 90.00
_cell_angle_beta 90.00
_cell_angle_gamma 90.00
loop_
_atom_site_label
_atom_site_type_symbol
_atom_site_fract_x
_atom_site_fract_y
_atom_site_fract_z
_atom_site_occupancy
Tb1 Tb 0.0000 0.0000 0.0000 1
Sm1 Sm 0.0000 0.5000 0.1283 1
Ga1 Ga 0.0000 0.1901 0.5000 1
Ga2 Ga 0.0000 0.3106 0.3197 1
```

---

Arrangement b

Below is TbSm2Ga6 after structural relaxation, with properties calculated at the PBE-GGA level.

Volume ... 196.2 Å³/cell

CIF file:
```
data_TbSm2Ga6
_space_group_name_H-M_alt 'P 6/m m m'
_space_group_IT_number 191
_space_group_name_Hall '-P 6 2'
_cell_length_a 7.3415
_cell_length_b 7.3415
_cell_length_c 4.2037
_cell_angle_alpha 90.00
_cell_angle_beta 90.00
_cell_angle_gamma 120.00
loop_
_atom_site_label
_atom_site_type_symbol
_atom_site_fract_x
_atom_site_fract_y
_atom_site_fract_z
_atom_site_occupancy
Tb1 Tb 0.0000 0.0000 0.0000 1
Sm1 Sm 0.3333 0.6667 0.0000 1
Ga1 Ga 0.0000 0.3326 0.5000 1
```

---

What is the stability order? It is arrangement b, arrangement a, from most stable to least stable.

---

Arrangement a

Below is Tb3SmGa2 after structural relaxation, with properties calculated at the PBE-GGA level.

Volume ... 650.7 Å³/cell

CIF file:
```
data_Tb3SmGa2
_space_group_name_H-M_alt 'C 1 2/m 1'
_space_group_IT_number 12
_cell_length_a 16.2035
_cell_length_b 5.0932
_cell_length_c 8.8851
_cell_angle_alpha 90.00
_cell_angle_beta 117.45
_cell_angle_gamma 90.00
loop_
_space_group_symop_operation_xyz
'x,y,z'
'-x,-y,-z'
'-x,y,-z'
'x,-y,z'
'x+1/2,y+1/2,z'
'-x+1/2,-y+1/2,-z'
'-x+1/2,y+1/2,-z'
'x+1/2,-y+1/2,z'
loop_
_atom_site_label
_atom_site_type_symbol
_atom_site_fract_x
_atom_site_fract_y
_atom_site_fract_z
_atom_site_occupancy
Tb1 Tb 0.0630 0.0000 0.2169 1
Tb2 Tb 0.1231 0.5000 0.0106 1
Tb3 Tb 0.1881 0.5000 0.4958 1
Sm1 Sm 0.1279 0.0000 0.6891 1
Ga1 Ga 0.0120 0.5000 0.6494 1
Ga2 Ga 0.2267 0.0000 0.1133 1
```

---

Arrangement b

Below is Tb3SmGa2 after structural relaxation, with properties calculated at the PBE-GGA level.

Volume ... 315.9 Å³/cell

CIF file:
```
data_Tb3SmGa2
_space_group_name_H-M_alt 'P m c 21'
_space_group_IT_number 26
_cell_length_a 5.0087
_cell_length_b 9.5437
_cell_length_c 6.6088
_cell_angle_alpha 90.00
_cell_angle_beta 90.00
_cell_angle_gamma 90.00
loop_
_space_group_symop_operation_xyz
'x,y,z'
'-x,-y,z+1/2'
'-x,y,z'
'x,-y,z+1/2'
loop_
_atom_site_label
_atom_site_type_symbol
_atom_site_fract_x
_atom_site_fract_y
_atom_site_fract_z
_atom_site_occupancy
Tb1 Tb 0.0000 0.0516 0.0000 1
Tb2 Tb 0.0000 0.3201 0.3556 1
Tb3 Tb 0.5000 0.1747 0.7067 1
Sm1 Sm 0.5000 0.4507 0.0640 1
Ga1 Ga 0.0000 0.3563 0.8192 1
Ga2 Ga 0.5000 0.1419 0.2417 1
```

---

What is the stability order? It is arrangement b, arrangement a, from most stable to least stable.

---

Arrangement a

Below is TbSm2Ga3 after structural relaxation, with properties calculated at the PBE-GGA level.

Volume ... 614.7 Å³/cell

CIF file:
```
data_TbSm2Ga3
_space_group_name_H-M_alt 'C m c m'
_space_group_IT_number 63
_space_group_name_Hall '-C 2c 2'
_cell_length_a 4.6419
_cell_length_b 21.1921
_cell_length_c 6.2491
_cell_angle_alpha 90.00
_cell_angle_beta 90.00
_cell_angle_gamma 90.00
loop_
_atom_site_label
_atom_site_type_symbol
_atom_site_fract_x
_atom_site_fract_y
_atom_site_fract_z
_atom_site_occupancy
Tb1 Tb 0.0000 0.1760 0.2500 1
Sm1 Sm 0.0000 0.3560 0.2500 1
Sm2 Sm 0.0000 0.4660 0.7500 1
Ga1 Ga 0.0000 0.0622 0.5455 1
Ga2 Ga 0.0000 0.2398 0.7500 1
```

---

Arrangement b

Below is TbSm2Ga3 after structural relaxation, with properties calculated at the PBE-GGA level.

Volume ... 286.7 Å³/cell

CIF file:
```
data_TbSm2Ga3
_space_group_name_H-M_alt 'P -3 m 1'
_space_group_IT_number 164
_space_group_name_Hall '-P 3 2"'
_cell_length_a 5.1246
_cell_length_b 5.1246
_cell_length_c 12.6058
_cell_angle_alpha 90.00
_cell_angle_beta 90.00
_cell_angle_gamma 120.00
loop_
_atom_site_label
_atom_site_type_symbol
_atom_site_fract_x
_atom_site_fract_y
_atom_site_fract_z
_atom_site_occupancy
Tb1 Tb 0.3333 0.6667 0.1666 1
Sm1 Sm 0.0000 0.0000 0.0000 1
Sm2 Sm 0.0000 0.0000 0.5000 1
Sm3 Sm 0.3333 0.6667 0.6686 1
Ga1 Ga 0.0000 0.0000 0.2482 1
Ga2 Ga 0.3333 0.6667 0.4157 1
Ga3 Ga 0.3333 0.6667 0.9176 1
```

---

What is the stability order? It is arrangement b, arrangement a, from most stable to least stable.

---

Arrangement a

Below is Tb2SmGa6 after structural relaxation, with properties calculated at the PBE-GGA level.

Volume ... 408.8 Å³/cell

CIF file:
```
data_Tb2SmGa6
_space_group_name_H-M_alt 'I m m m'
_space_group_IT_number 71
_space_group_name_Hall '-I 2 2'
_cell_length_a 4.3416
_cell_length_b 7.0814
_cell_length_c 13.2963
_cell_angle_alpha 90.00
_cell_angle_beta 90.00
_cell_angle_gamma 90.00
loop_
_atom_site_label
_atom_site_type_symbol
_atom_site_fract_x
_atom_site_fract_y
_atom_site_fract_z
_atom_site_occupancy
Tb1 Tb 0.0000 0.0000 0.1269 1
Sm1 Sm 0.0000 0.5000 0.0000 1
Ga1 Ga 0.0000 0.1928 0.3166 1
Ga2 Ga 0.0000 0.3144 0.5000 1
```

---

Arrangement b

Below is Tb2SmGa6 after structural relaxation, with properties calculated at the PBE-GGA level.

Volume ... 193.7 Å³/cell

CIF file:
```
data_Tb2SmGa6
_space_group_name_H-M_alt 'P 6/m m m'
_space_group_IT_number 191
_space_group_name_Hall '-P 6 2'
_cell_length_a 7.3219
_cell_length_b 7.3219
_cell_length_c 4.1715
_cell_angle_alpha 90.00
_cell_angle_beta 90.00
_cell_angle_gamma 120.00
loop_
_atom_site_label
_atom_site_type_symbol
_atom_site_fract_x
_atom_site_fract_y
_atom_site_fract_z
_atom_site_occupancy
Tb1 Tb 0.3333 0.6667 0.0000 1
Sm1 Sm 0.0000 0.0000 0.0000 1
Ga1 Ga 0.0000 0.3339 0.5000 1
```

---

What is the stability order? It is arrangement b, arrangement a, from most stable to least stable.

---

Arrangement a

Below is Tb2SmGa2 after structural relaxation, with properties calculated at the PBE-GGA level.

Volume ... 270.0 Å³/cell

CIF file:
```
data_Tb2SmGa2
_space_group_name_H-M_alt 'C 1 2/m 1'
_space_group_IT_number 12
_cell_length_a 12.5314
_cell_length_b 3.7531
_cell_length_c 5.8884
_cell_angle_alpha 90.00
_cell_angle_beta 102.84
_cell_angle_gamma 90.00
loop_
_space_group_symop_operation_xyz
'x,y,z'
'-x,-y,-z'
'-x,y,-z'
'x,-y,z'
'x+1/2,y+1/2,z'
'-x+1/2,-y+1/2,-z'
'-x+1/2,y+1/2,-z'
'x+1/2,-y+1/2,z'
loop_
_atom_site_label
_atom_site_type_symbol
_atom_site_fract_x
_atom_site_fract_y
_atom_site_fract_z
_atom_site_occupancy
Tb1 Tb 0.1376 0.0000 0.0687 1
Sm1 Sm 0.0000 0.5000 0.5000 1
Ga1 Ga 0.2054 0.0000 0.6110 1
```

---

Arrangement b

Below is Tb2SmGa2 after structural relaxation, with properties calculated at the PBE-GGA level.

Volume ... 260.2 Å³/cell

CIF file:
```
data_Tb2SmGa2
_space_group_name_H-M_alt 'P 4/m b m'
_space_group_IT_number 127
_space_group_name_Hall '-P 4 2ab'
_cell_length_a 7.6907
_cell_length_b 7.6907
_cell_length_c 4.3997
_cell_angle_alpha 90.00
_cell_angle_beta 90.00
_cell_angle_gamma 90.00
loop_
_atom_site_label
_atom_site_type_symbol
_atom_site_fract_x
_atom_site_fract_y
_atom_site_fract_z
_atom_site_occupancy
Tb1 Tb 0.1739 0.3261 0.0000 1
Sm1 Sm 0.0000 0.0000 0.5000 1
Ga1 Ga 0.1187 0.6187 0.5000 1
```

---

What is the stability order? It is arrangement b, arrangement a, from most stable to least stable.

---

Arrangement a

Below is SmGa2Tc after structural relaxation, with properties calculated at the PBE-GGA level.

Volume ... 232.9 Å³/cell

CIF file:
```
data_SmGa2Tc
_space_group_name_H-M_alt 'R -3 m'
_space_group_IT_number 166
_space_group_name_Hall '-R 3 2"'
_cell_length_a 3.1498
_cell_length_b 3.1498
_cell_length_c 27.1096
_cell_angle_alpha 90.00
_cell_angle_beta 90.00
_cell_angle_gamma 120.00
loop_
_atom_site_label
_atom_site_type_symbol
_atom_site_fract_x
_atom_site_fract_y
_atom_site_fract_z
_atom_site_occupancy
Sm1 Sm 0.0000 0.0000 0.0000 1
Ga1 Ga 0.0000 0.0000 0.2366 1
Tc1 Tc 0.0000 0.0000 0.5000 1
```

---

Arrangement b

Below is SmGa2Tc after structural relaxation, with properties calculated at the PBE-GGA level.

Volume ... 74.4 Å³/cell

CIF file:
```
data_SmGa2Tc
_space_group_name_H-M_alt 'P 4/m m m'
_space_group_IT_number 123
_space_group_name_Hall '-P 4 2'
_cell_length_a 3.2729
_cell_length_b 3.2729
_cell_length_c 6.9463
_cell_angle_alpha 90.00
_cell_angle_beta 90.00
_cell_angle_gamma 90.00
loop_
_atom_site_label
_atom_site_type_symbol
_atom_site_fract_x
_atom_site_fract_y
_atom_site_fract_z
_atom_site_occupancy
Sm1 Sm 0.0000 0.0000 0.0000 1
Ga1 Ga 0.5000 0.5000 0.3082 1
Tc1 Tc 0.0000 0.0000 0.5000 1
```

---

What is the stability order? It is arrangement b, arrangement a, from most stable to least stable.